{
  "formula": "VS2Cl",
  "functional": "PBE-GGA",
  "state": "optimized geometry",
  "lattice_angstrom": [[1.889, 0.000, 8.512], [-0.945, 1.636, 8.512], [-0.945, -1.636, 8.512]],
  "species": ["S", "S", "Cl", "V"],
  "frac_coords": [[0.083, 0.083, 0.083], [0.917, 0.917, 0.917], [0.500, 0.500, 0.500], [0.000, 0.000, 0.000]],
  "dft_energy_ev_per_atom": -4.1542,
  "space_group": "R-3m (166)",
  "de_polymorph_mev_per_atom": 1331,
  "raw_formation_energy_ev_per_atom": 0.65,
  "total_magnetization_mub_per_cell": 0.0
}